Record 1
Below is a relaxed Nd4Tl5Zn2 crystal, with properties calculated at the PBE level.

a b c (Å): 8.263 3.829 9.717
angles (deg): 90.00 90.43 90.00
Sites, in units of the cell vectors:
Nd 0.209 0.000 0.357
Nd 0.240 0.000 0.899
Nd 0.760 0.000 0.101
Nd 0.791 0.000 0.643
Tl 0.128 0.500 0.633
Tl 0.433 0.500 0.153
Tl 0.500 0.500 0.500
Tl 0.567 0.500 0.847
Tl 0.872 0.500 0.367
Zn 0.073 0.500 0.118
Zn 0.927 0.500 0.882

Calculated values
The crystal system is monoclinic. The energy of formation from the pure elements is -3.33 eV/f.u. The theoretical density is 9.3 g cm⁻³. Its space group is P2/m, No. 10.

=====

Record 2
Below is a relaxed Nd12Tl6Zn crystal, with properties calculated at the PBE level.

a b c (Å): 8.409 8.409 8.409
angles (deg): 92.21 92.21 92.21
Sites, in units of the cell vectors:
Nd 0.047 0.098 0.354
Nd 0.098 0.354 0.047
Nd 0.193 0.455 0.562
Nd 0.354 0.047 0.098
Nd 0.438 0.807 0.545
Nd 0.455 0.562 0.193
Nd 0.545 0.438 0.807
Nd 0.562 0.193 0.455
Nd 0.646 0.953 0.902
Nd 0.807 0.545 0.438
Nd 0.902 0.646 0.953
Nd 0.953 0.902 0.646
Tl 0.128 0.730 0.289
Tl 0.270 0.711 0.872
Tl 0.289 0.128 0.730
Tl 0.711 0.872 0.270
Tl 0.730 0.289 0.128
Tl 0.872 0.270 0.711
Zn 0.000 0.000 0.000

Calculated values
The crystal system is trigonal. The energy of formation from the pure elements is -3.38 eV/f.u. The theoretical density is 8.5 g cm⁻³. Its space group is R-3, No. 148.

=====

Record 3
Below is a relaxed Nd8Tl2Zn crystal, with properties calculated at the PBE level.

a b c (Å): 10.113 10.113 6.936
angles (deg): 105.47 105.47 30.60
Sites, in units of the cell vectors:
Nd 0.012 0.012 0.276
Nd 0.207 0.207 0.811
Nd 0.346 0.346 0.513
Nd 0.409 0.409 0.033
Nd 0.591 0.591 0.967
Nd 0.654 0.654 0.487
Nd 0.793 0.793 0.189
Nd 0.988 0.988 0.724
Tl 0.178 0.178 0.247
Tl 0.822 0.822 0.753
Zn 0.500 0.500 0.500

Calculated values
The crystal system is monoclinic. The energy of formation from the pure elements is -1.80 eV/f.u. The theoretical density is 7.8 g cm⁻³. Its space group is C2/m, No. 12.